1.
MnTlTc2 | PBE | relaxed

abc: 9.2223 3.0453 4.8006
angles: 90.00 103.52 90.00
Space group Cm (No. 8)
Symmetry-distinct sites (fractional):
Mn  0.0000  0.0000  0.0000 (multiplicity 2)
Tl  0.2393  0.0000  0.7411 (multiplicity 2)
Tc  0.2451  0.5000  0.2476 (multiplicity 2)
Tc  0.4777  0.0000  0.4256 (multiplicity 2)

Computed properties:
* total magnetization: 2.65 μB per formula unit
* theoretical density: 11.536 g cm⁻³
* final energy: -7.57 eV/atom

2.
MnTlTc2 | PBE | relaxed

abc: 3.9251 3.9251 8.2615
angles: 90.00 90.00 90.00
Space group I4/mmm (No. 139)
Symmetry-distinct sites (fractional):
Mn  0.0000  0.0000  0.0000 (multiplicity 2)
Tl  0.0000  0.0000  0.5000 (multiplicity 2)
Tc  0.0000  0.5000  0.2500 (multiplicity 4)

Computed properties:
* total magnetization: 1.30 μB per formula unit
* theoretical density: 11.881 g cm⁻³
* final energy: -7.53 eV/atom

3.
MnTlTc2 | PBE | relaxed

abc: 6.2858 6.2858 6.2858
angles: 90.00 90.00 90.00
Space group Fm-3m (No. 225)
Symmetry-distinct sites (fractional):
Mn  0.0000  0.0000  0.0000 (multiplicity 4)
Tl  0.0000  0.0000  0.5000 (multiplicity 4)
Tc  0.2500  0.2500  0.2500 (multiplicity 8)

Computed properties:
* total magnetization: 0.00 μB per formula unit
* theoretical density: 12.177 g cm⁻³
* final energy: -7.28 eV/atom

4.
MnTl2Tc | PBE | relaxed

abc: 4.0645 4.0645 9.4362
angles: 90.00 90.00 90.00
Space group I-4m2 (No. 119)
Symmetry-distinct sites (fractional):
Mn  0.0000  0.0000  0.0000 (multiplicity 2)
Tl  0.0000  0.0000  0.5000 (multiplicity 2)
Tl  0.0000  0.5000  0.2500 (multiplicity 2)
Tc  0.0000  0.5000  0.7500 (multiplicity 2)

Computed properties:
* total magnetization: 5.47 μB per formula unit
* theoretical density: 11.967 g cm⁻³
* final energy: -5.39 eV/atom

5.
MnTlTc2 | PBE | relaxed

abc: 3.9956 3.9956 7.9854
angles: 90.00 90.00 90.00
Space group I-4m2 (No. 119)
Symmetry-distinct sites (fractional):
Mn  0.0000  0.0000  0.0000 (multiplicity 2)
Tl  0.0000  0.5000  0.2500 (multiplicity 2)
Tc  0.0000  0.0000  0.5000 (multiplicity 2)
Tc  0.0000  0.5000  0.7500 (multiplicity 2)

Computed properties:
* total magnetization: 3.03 μB per formula unit
* theoretical density: 11.862 g cm⁻³
* final energy: -7.55 eV/atom

6.
MnTlTc2 | PBE | relaxed

abc: 2.9640 3.7921 5.8346
angles: 90.00 90.20 90.00
Space group Pm (No. 6)
Symmetry-distinct sites (fractional):
Mn  0.0000  0.0000  0.0000 (multiplicity 1)
Tl  0.5014  0.5000  0.2729 (multiplicity 1)
Tc  0.0047  0.0000  0.5724 (multiplicity 1)
Tc  0.4982  0.5000  0.7724 (multiplicity 1)

Computed properties:
* total magnetization: 3.38 μB per formula unit
* theoretical density: 11.529 g cm⁻³
* final energy: -7.66 eV/atom

7.
MnTlTc3 | PBE | relaxed

abc: 4.4802 4.4802 4.4802
angles: 90.00 90.00 90.00
Space group Pm-3m (No. 221)
Symmetry-distinct sites (fractional):
Mn  0.0000  0.0000  0.0000 (multiplicity 1)
Tl  0.5000  0.5000  0.5000 (multiplicity 1)
Tc  0.0000  0.0000  0.5000 (multiplicity 3)

Computed properties:
* total magnetization: 1.12 μB per formula unit
* theoretical density: 10.217 g cm⁻³
* final energy: -7.36 eV/atom

8.
MnTlTc2 | PBE | relaxed

abc: 3.0353 4.5313 9.2889
angles: 90.00 90.00 90.00
Space group Immm (No. 71)
Symmetry-distinct sites (fractional):
Mn  0.0000  0.0000  0.0000 (multiplicity 2)
Tl  0.0000  0.0000  0.5000 (multiplicity 2)
Tc  0.0000  0.5000  0.2724 (multiplicity 4)

Computed properties:
* total magnetization: 2.31 μB per formula unit
* theoretical density: 11.836 g cm⁻³
* final energy: -7.55 eV/atom

9.
MnTl2Tc | PBE | relaxed

abc: 3.0941 3.0818 16.8895
angles: 90.00 90.00 90.00
Space group Amm2 (No. 38)
Symmetry-distinct sites (fractional):
Mn  0.0000  0.0000  0.0000 (multiplicity 2)
Tl  0.0000  0.0000  0.2018 (multiplicity 2)
Tl  0.5000  0.0000  0.3768 (multiplicity 2)
Tc  0.5000  0.0000  0.5765 (multiplicity 2)

Computed properties:
* total magnetization: 2.08 μB per formula unit
* theoretical density: 11.583 g cm⁻³
* final energy: -5.65 eV/atom

10.
MnTl2Tc | PBE | relaxed

abc: 4.2544 4.2649 8.4128
angles: 90.00 90.00 90.00
Space group Immm (No. 71)
Symmetry-distinct sites (fractional):
Mn  0.0000  0.0000  0.0000 (multiplicity 2)
Tl  0.0000  0.5000  0.2501 (multiplicity 4)
Tc  0.0000  0.0000  0.5000 (multiplicity 2)

Computed properties:
* total magnetization: 4.98 μB per formula unit
* theoretical density: 12.221 g cm⁻³
* final energy: -5.40 eV/atom

11.
MnTlTc2 | PBE | relaxed

abc: 2.9290 3.7277 6.0182
angles: 90.00 90.00 90.00
Space group Pmmm (No. 47)
Symmetry-distinct sites (fractional):
Mn  0.0000  0.0000  0.0000 (multiplicity 1)
Tl  0.0000  0.0000  0.5000 (multiplicity 1)
Tc  0.5000  0.5000  0.1981 (multiplicity 2)

Computed properties:
* total magnetization: 2.19 μB per formula unit
* theoretical density: 11.506 g cm⁻³
* final energy: -7.59 eV/atom

12.
MnTlTc2 | PBE | relaxed

abc: 9.2374 2.9331 4.8776
angles: 90.00 103.65 90.00
Space group C2/m (No. 12)
Symmetry-distinct sites (fractional):
Mn  0.0000  0.0000  0.0000 (multiplicity 2)
Tl  0.0000  0.5000  0.5000 (multiplicity 2)
Tc  0.2325  0.5000  0.2092 (multiplicity 4)

Computed properties:
* total magnetization: 1.81 μB per formula unit
* theoretical density: 11.775 g cm⁻³
* final energy: -7.60 eV/atom

13.
MnTlTc2 | PBE | relaxed

abc: 3.9862 3.9862 4.0580
angles: 90.00 90.00 90.00
Space group P4/mmm (No. 123)
Symmetry-distinct sites (fractional):
Mn  0.0000  0.0000  0.0000 (multiplicity 1)
Tl  0.5000  0.5000  0.0000 (multiplicity 1)
Tc  0.0000  0.5000  0.5000 (multiplicity 2)

Computed properties:
* total magnetization: 1.62 μB per formula unit
* theoretical density: 11.726 g cm⁻³
* final energy: -7.51 eV/atom

14.
MnTlTc2 | PBE | relaxed

abc: 6.3900 6.3900 6.3900
angles: 90.00 90.00 90.00
Space group F-43m (No. 216)
Symmetry-distinct sites (fractional):
Mn  0.0000  0.0000  0.0000 (multiplicity 4)
Tl  0.2500  0.2500  0.2500 (multiplicity 4)
Tc  0.0000  0.0000  0.5000 (multiplicity 4)
Tc  0.2500  0.2500  0.7500 (multiplicity 4)

Computed properties:
* total magnetization: 4.08 μB per formula unit
* theoretical density: 11.591 g cm⁻³
* final energy: -7.49 eV/atom

15.
MnTl2Tc | PBE | relaxed

abc: 3.1428 3.1428 27.1893
angles: 90.00 90.00 120.00
Space group R-3m (No. 166, hexagonal axes)
Symmetry-distinct sites (fractional):
Mn  0.0000  0.0000  0.0000 (multiplicity 3)
Tl  0.0000  0.0000  0.2489 (multiplicity 6)
Tc  0.0000  0.0000  0.5000 (multiplicity 3)

Computed properties:
* total magnetization: 3.59 μB per formula unit
* theoretical density: 12.031 g cm⁻³
* final energy: -5.35 eV/atom

16.
MnTl4Tc | PBE | relaxed

abc: 8.6236 8.6236 8.6236
angles: 90.00 90.00 90.00
Space group F-43m (No. 216)
Symmetry-distinct sites (fractional):
Mn  0.0000  0.0000  0.0000 (multiplicity 4)
Tl  0.1248  0.1248  0.3752 (multiplicity 16)
Tc  0.2500  0.2500  0.7500 (multiplicity 4)

Computed properties:
* total magnetization: 7.78 μB per formula unit
* theoretical density: 10.051 g cm⁻³
* final energy: -3.73 eV/atom

17.
MnTl2Tc | PBE | relaxed

abc: 3.3237 3.3237 26.3758
angles: 90.00 90.00 120.00
Space group R3m (No. 160, hexagonal axes)
Symmetry-distinct sites (fractional):
Mn  0.0000  0.0000  0.0000 (multiplicity 3)
Tl  0.0000  0.0000  0.2451 (multiplicity 3)
Tl  0.0000  0.0000  0.4724 (multiplicity 3)
Tc  0.0000  0.0000  0.7127 (multiplicity 3)

Computed properties:
* total magnetization: 0.00 μB per formula unit
* theoretical density: 11.089 g cm⁻³
* final energy: -5.49 eV/atom

18.
MnTl2Tc | PBE | relaxed

abc: 7.5242 7.5242 5.9207
angles: 90.00 90.00 90.00
Space group I-42d (No. 122)
Symmetry-distinct sites (fractional):
Mn  0.0000  0.0000  0.0000 (multiplicity 4)
Tl  0.2463  0.2500  0.1250 (multiplicity 8)
Tc  0.0000  0.0000  0.5000 (multiplicity 4)

Computed properties:
* total magnetization: 4.78 μB per formula unit
* theoretical density: 11.131 g cm⁻³
* final energy: -5.14 eV/atom

19.
MnTl2Tc | PBE | relaxed

abc: 6.6831 6.6831 6.6831
angles: 90.00 90.00 90.00
Space group Fm-3m (No. 225)
Symmetry-distinct sites (fractional):
Mn  0.0000  0.0000  0.0000 (multiplicity 4)
Tl  0.2500  0.2500  0.2500 (multiplicity 8)
Tc  0.0000  0.0000  0.5000 (multiplicity 4)

Computed properties:
* total magnetization: 3.12 μB per formula unit
* theoretical density: 12.499 g cm⁻³
* final energy: -5.37 eV/atom

20.
MnTl2Tc | PBE | relaxed

abc: 3.0763 3.0763 8.5682
angles: 90.00 90.00 90.00
Space group P4mm (No. 99)
Symmetry-distinct sites (fractional):
Mn  0.0000  0.0000  0.0000 (multiplicity 1)
Tl  0.0000  0.0000  0.4028 (multiplicity 1)
Tl  0.5000  0.5000  0.7469 (multiplicity 1)
Tc  0.5000  0.5000  0.1500 (multiplicity 1)

Computed properties:
* total magnetization: 2.04 μB per formula unit
* theoretical density: 11.503 g cm⁻³
* final energy: -5.64 eV/atom

21.
MnTlTc2 | PBE | relaxed

abc: 2.9084 2.9084 26.4983
angles: 90.00 90.00 120.00
Space group R-3m (No. 166, hexagonal axes)
Symmetry-distinct sites (fractional):
Mn  0.0000  0.0000  0.0000 (multiplicity 3)
Tl  0.0000  0.0000  0.5000 (multiplicity 3)
Tc  0.0000  0.0000  0.2600 (multiplicity 6)

Computed properties:
* total magnetization: 1.79 μB per formula unit
* theoretical density: 11.685 g cm⁻³
* final energy: -7.51 eV/atom

22.
MnTl2Tc | PBE | relaxed

abc: 4.5316 4.5316 3.6487
angles: 90.00 90.00 90.00
Space group P4/mmm (No. 123)
Symmetry-distinct sites (fractional):
Mn  0.0000  0.0000  0.0000 (multiplicity 1)
Tl  0.0000  0.5000  0.5000 (multiplicity 2)
Tc  0.5000  0.5000  0.0000 (multiplicity 1)

Computed properties:
* total magnetization: 3.52 μB per formula unit
* theoretical density: 12.448 g cm⁻³
* final energy: -5.39 eV/atom

23.
MnTl2Tc | PBE | relaxed

abc: 6.8629 6.8629 6.8629
angles: 90.00 90.00 90.00
Space group F-43m (No. 216)
Symmetry-distinct sites (fractional):
Mn  0.0000  0.0000  0.0000 (multiplicity 4)
Tl  0.0000  0.0000  0.5000 (multiplicity 4)
Tl  0.2500  0.2500  0.7500 (multiplicity 4)
Tc  0.2500  0.2500  0.2500 (multiplicity 4)

Computed properties:
* total magnetization: 1.92 μB per formula unit
* theoretical density: 11.542 g cm⁻³
* final energy: -5.17 eV/atom

24.
MnTl2Tc | PBE | relaxed

abc: 3.1284 4.7092 11.1233
angles: 90.00 90.00 90.00
Space group Imm2 (No. 44)
Symmetry-distinct sites (fractional):
Mn  0.0000  0.0000  0.0000 (multiplicity 2)
Tl  0.0000  0.0000  0.4124 (multiplicity 2)
Tl  0.0000  0.5000  0.1929 (multiplicity 2)
Tc  0.0000  0.5000  0.6763 (multiplicity 2)

Computed properties:
* total magnetization: 3.27 μB per formula unit
* theoretical density: 11.384 g cm⁻³
* final energy: -5.49 eV/atom

25.
MnTlTc2 | PBE | relaxed

abc: 3.2926 4.4734 8.7612
angles: 90.00 90.00 90.00
Space group Imm2 (No. 44)
Symmetry-distinct sites (fractional):
Mn  0.0000  0.0000  0.0000 (multiplicity 2)
Tl  0.0000  0.5000  0.2423 (multiplicity 2)
Tc  0.0000  0.0000  0.4753 (multiplicity 2)
Tc  0.0000  0.5000  0.7392 (multiplicity 2)

Computed properties:
* total magnetization: 2.85 μB per formula unit
* theoretical density: 11.718 g cm⁻³
* final energy: -7.56 eV/atom

26.
MnTl3Tc | PBE | relaxed

abc: 5.3285 5.3285 5.3285
angles: 90.00 90.00 90.00
Space group Pm-3m (No. 221)
Symmetry-distinct sites (fractional):
Mn  0.0000  0.0000  0.0000 (multiplicity 1)
Tl  0.0000  0.5000  0.5000 (multiplicity 3)
Tc  0.5000  0.5000  0.5000 (multiplicity 1)

Computed properties:
* total magnetization: 6.20 μB per formula unit
* theoretical density: 8.409 g cm⁻³
* final energy: -4.43 eV/atom

27.
MnTlTc2 | PBE | relaxed

abc: 5.4358 7.9782 2.9989
angles: 90.00 90.00 90.00
Space group Cmmm (No. 65)
Symmetry-distinct sites (fractional):
Mn  0.0000  0.0000  0.0000 (multiplicity 2)
Tl  0.0000  0.5000  0.0000 (multiplicity 2)
Tc  0.2500  0.2500  0.5000 (multiplicity 4)

Computed properties:
* total magnetization: 2.39 μB per formula unit
* theoretical density: 11.627 g cm⁻³
* final energy: -7.42 eV/atom

28.
MnTlTc2 | PBE | relaxed

abc: 2.9693 2.9693 7.7344
angles: 90.00 90.00 90.00
Space group P4mm (No. 99)
Symmetry-distinct sites (fractional):
Mn  0.0000  0.0000  0.0000 (multiplicity 1)
Tl  0.5000  0.5000  0.7122 (multiplicity 1)
Tc  0.0000  0.0000  0.4228 (multiplicity 1)
Tc  0.5000  0.5000  0.2303 (multiplicity 1)

Computed properties:
* total magnetization: 3.72 μB per formula unit
* theoretical density: 11.088 g cm⁻³
* final energy: -7.72 eV/atom

29.
Tm2Mn3Tc | PBE | relaxed

abc: 5.3233 5.3233 12.0848
angles: 90.00 90.00 120.00
Space group R-3m (No. 166, hexagonal axes)
Symmetry-distinct sites (fractional):
Tm  0.0000  0.0000  0.1268 (multiplicity 6)
Mn  0.0000  0.5000  0.0000 (multiplicity 9)
Tc  0.0000  0.0000  0.5000 (multiplicity 3)

Computed properties:
* total magnetization: 4.22 μB per formula unit
* theoretical density: 10.090 g cm⁻³
* final energy: -7.85 eV/atom

30.
Tm2MnTc3 | PBE | relaxed

abc: 5.2571 5.2571 13.5040
angles: 90.00 90.00 120.00
Space group R-3m (No. 166, hexagonal axes)
Symmetry-distinct sites (fractional):
Tm  0.0000  0.0000  0.1230 (multiplicity 6)
Mn  0.0000  0.0000  0.5000 (multiplicity 3)
Tc  0.0000  0.5000  0.0000 (multiplicity 9)

Computed properties:
* total magnetization: 2.78 μB per formula unit
* theoretical density: 10.586 g cm⁻³
* final energy: -8.40 eV/atom